The following is a DFT calculation (PBE) of an optimized crystal structure of TiB2AsI.

Summary:
Magnetization = 0.000 μB per atom
Crystal system = tetragonal
Raw formation energy = 1272 meV/atom
Fermi-level density of states = 1.485 states/eV per atom

a b c (Å): 4.167 4.167 5.271
angles (deg): 90.00 90.00 90.00
Space group P4/mmm (No. 123)
Unique sites:
Ti  0.000  0.000  0.000 [1 per cell]
B  0.000  0.500  0.500 [2 per cell]
As  0.000  0.000  0.500 [1 per cell]
I  0.500  0.500  0.000 [1 per cell]